VASP calculation (PBE) on a relaxed Cs2SnHgPd crystal.

Lattice parameters (Å, degrees): 7.033 5.395 7.033 90.00 90.00 90.00
Atoms (fractional coordinates):
Cs  0.000  0.000  0.500
Cs  0.500  0.000  0.000
Hg  0.000  0.000  0.000
Pd  0.500  0.500  0.500
Sn  0.000  0.500  0.000

Calculated values
ΔE_f: 0.411 eV per atom
excess energy over the best structure of this formula in the dataset: 535.5 meV/atom
electronic total energy: -9.15 eV for the cell shown